# 1
Below is a relaxed structure of SmVPd6, with properties calculated at the PBE level.

Summary:
The density of states at the Fermi level is 3.938 states/eV/cell. The calculation puts the energy of formation from the pure elements at -0.51 eV per atom.

```
data_SmVPd6
_space_group_name_H-M_alt 'P 4/m m m'
_space_group_IT_number 123
_space_group_name_Hall '-P 4 2'
_cell_length_a 4.039
_cell_length_b 4.039
_cell_length_c 8.050
_cell_angle_alpha 90.00
_cell_angle_beta 90.00
_cell_angle_gamma 90.00
loop_
_atom_site_label
_atom_site_type_symbol
_atom_site_fract_x
_atom_site_fract_y
_atom_site_fract_z
Sm1 Sm 0.000 0.000 0.000
V1 V 0.000 0.000 0.500
Pd1 Pd 0.000 0.500 0.272
Pd2 Pd 0.500 0.500 0.000
Pd3 Pd 0.500 0.500 0.500
```



# 2
Below is a relaxed structure of La3Er2Tm2, with properties calculated at the PBE level.

Summary:
As for the energy above the most stable polymorph in this dataset: 26.8 meV/atom. The density of states at the Fermi level is 20.570 states/eV/cell. The calculation puts the energy of formation from the pure elements at 0.14 eV per atom.

```
data_La3Er2Tm2
_space_group_name_H-M_alt 'P 1 21/c 1'
_space_group_IT_number 14
_space_group_name_Hall '-P 2ybc'
_cell_length_a 7.514
_cell_length_b 6.432
_cell_length_c 12.093
_cell_angle_alpha 90.00
_cell_angle_beta 124.96
_cell_angle_gamma 90.00
loop_
_atom_site_label
_atom_site_type_symbol
_atom_site_fract_x
_atom_site_fract_y
_atom_site_fract_z
La1 La 0.000 0.000 0.000
La2 La 0.356 0.017 0.684
Er1 Er 0.123 0.178 0.320
Tm1 Tm 0.374 0.720 0.454
```